VASP calculation (PBE) on a relaxed structure of Pr5Si2Ge.

Final energy in eV/cell: -88.66

Lattice parameters (Å, degrees): 8.976 8.976 8.976 127.76 127.76 77.01
Each line ends with the local moment (μB).
Sites, in units of the cell vectors:
1 Ge 0.250 0.250 0.000  -0.01
2 Ge 0.750 0.750 0.000  -0.01
3 Pr 0.000 0.000 0.000  0.25
4 Pr 0.500 0.500 0.000  0.25
5 Pr 0.178 0.678 0.146  0.07
6 Pr 0.468 0.968 0.146  0.07
7 Pr 0.032 0.178 0.500  0.07
8 Pr 0.322 0.468 0.500  0.06
9 Pr 0.678 0.532 0.500  0.06
10 Pr 0.968 0.822 0.500  0.07
11 Pr 0.532 0.032 0.854  0.07
12 Pr 0.822 0.322 0.854  0.07
13 Si 0.885 0.385 0.270  -0.01
14 Si 0.385 0.115 0.500  -0.01
15 Si 0.615 0.885 0.500  -0.01
16 Si 0.115 0.615 0.730  -0.01


VASP calculation (PBE) on a relaxed structure of ZnIr2Os.

Formation enthalpy at 0 K in eV per atom: 0.34
Final energy in eV/cell: -28.86

Lattice parameters (Å, degrees): 4.344 4.344 4.344 60.00 60.00 60.00
Sites, in units of the cell vectors:
1 Ir 0.000 0.000 0.000
2 Ir 0.750 0.750 0.750
3 Os 0.250 0.250 0.250
4 Zn 0.500 0.500 0.500


VASP calculation (PBE) on a relaxed structure of SmGdZn2Sn2.

Energy relative to the lowest polymorph listed for this composition in eV per formula unit: 0.000
Final energy in eV/cell: -47.33

Lattice parameters (Å, degrees): 4.539 4.539 16.075 90.00 90.00 120.00
Sites, in units of the cell vectors:
1 Gd 0.000 0.000 0.250
2 Gd 0.000 0.000 0.750
3 Sm 0.000 0.000 0.000
4 Sm 0.000 0.000 0.500
5 Sn 0.667 0.333 0.116
6 Sn 0.667 0.333 0.384
7 Sn 0.333 0.667 0.616
8 Sn 0.333 0.667 0.884
9 Zn 0.333 0.667 0.160
10 Zn 0.333 0.667 0.340
11 Zn 0.667 0.333 0.660
12 Zn 0.667 0.333 0.840